[1]
# Ce12Si6Ge PBE optimized geometry
data_Ce12Si6Ge
_symmetry_space_group_name_H-M 'R -3'
_symmetry_Int_Tables_number 148
_symmetry_space_group_name_Hall '-R 3'
_cell_length_a 11.4951
_cell_length_b 11.4951
_cell_length_c 12.2191
_cell_angle_alpha 90.00
_cell_angle_beta 90.00
_cell_angle_gamma 120.00
loop_
_atom_site_label
_atom_site_fract_x
_atom_site_fract_y
_atom_site_fract_z
_atom_site_occupancy
Ce1 0.0530 0.8462 0.3491 1
Ce2 0.0556 0.2179 0.8801 1
Si1 0.0000 0.4211 0.7647 1
Ge1 0.0000 0.0000 0.5000 1
# Uncorrected formation energy = -0.376 eV/atom
# V = 24.53 A^3/atom
# Crystal system = trigonal


[2]
# CoSeCl2 PBE optimized geometry
data_CoSeCl2
_symmetry_space_group_name_H-M 'F m -3 m'
_symmetry_Int_Tables_number 225
_symmetry_space_group_name_Hall '-F 4 2 3'
_cell_length_a 6.7567
_cell_length_b 6.7567
_cell_length_c 6.7567
_cell_angle_alpha 90.00
_cell_angle_beta 90.00
_cell_angle_gamma 90.00
loop_
_atom_site_label
_atom_site_fract_x
_atom_site_fract_y
_atom_site_fract_z
_atom_site_occupancy
Co1 0.0000 0.0000 0.0000 1
Se1 0.0000 0.0000 0.5000 1
Cl1 0.2500 0.2500 0.2500 1
# Uncorrected formation energy = 0.763 eV/atom
# V = 19.28 A^3/atom
# Crystal system = cubic
# Excess energy over the best structure of this formula in the dataset = 1008.7 meV/atom


[3]
# TeAs PBE optimized geometry
data_TeAs
_symmetry_space_group_name_H-M 'P 63/m'
_symmetry_Int_Tables_number 176
_symmetry_space_group_name_Hall '-P 6c'
_cell_length_a 9.0904
_cell_length_b 9.0904
_cell_length_c 6.9239
_cell_angle_alpha 90.00
_cell_angle_beta 90.00
_cell_angle_gamma 120.00
loop_
_atom_site_label
_atom_site_fract_x
_atom_site_fract_y
_atom_site_fract_z
_atom_site_occupancy
Te1 0.0566 0.6695 0.2500 1
As1 0.0425 0.3803 0.2500 1
# Uncorrected formation energy = 0.346 eV/atom
# V = 41.29 A^3/atom
# Crystal system = hexagonal


[4]
# NdTh2Al PBE optimized geometry
data_NdTh2Al
_symmetry_space_group_name_H-M 'P 4/m m m'
_symmetry_Int_Tables_number 123
_symmetry_space_group_name_Hall '-P 4 2'
_cell_length_a 3.6520
_cell_length_b 3.6520
_cell_length_c 8.9855
_cell_angle_alpha 90.00
_cell_angle_beta 90.00
_cell_angle_gamma 90.00
loop_
_atom_site_label
_atom_site_fract_x
_atom_site_fract_y
_atom_site_fract_z
_atom_site_occupancy
Nd1 0.0000 0.0000 0.0000 1
Th1 0.5000 0.5000 0.2893 1
Al1 0.0000 0.0000 0.5000 1
# V = 29.96 A^3/atom
# Crystal system = tetragonal
# Excess energy over the best structure of this formula in the dataset = 74.7 meV/atom
# DFT formation energy = -36.2 meV per atom


[5]
# Li8Ag2Pd PBE optimized geometry
data_Li8Ag2Pd
_symmetry_space_group_name_H-M 'C 1 2/m 1'
_symmetry_Int_Tables_number 12
_symmetry_space_group_name_Hall '-C 2y'
_cell_length_a 7.2007
_cell_length_b 12.7185
_cell_length_c 4.5413
_cell_angle_alpha 90.00
_cell_angle_beta 114.12
_cell_angle_gamma 90.00
loop_
_atom_site_label
_atom_site_fract_x
_atom_site_fract_y
_atom_site_fract_z
_atom_site_occupancy
Li1 0.0000 0.2057 0.0000 1
Li2 0.1269 0.5000 0.8017 1
Li3 0.2005 0.1101 0.6284 1
Ag1 0.0000 0.3096 0.5000 1
Pd1 0.0000 0.0000 0.0000 1
# V = 17.25 A^3/atom
# Crystal system = monoclinic
# Excess energy over the best structure of this formula in the dataset = 58.3 meV/atom
# DFT formation energy = -130.7 meV per atom


[6]
# Tb7Pm4Tm PBE optimized geometry
data_Tb7Pm4Tm
_symmetry_space_group_name_H-M 'C 1 2/m 1'
_symmetry_Int_Tables_number 12
_symmetry_space_group_name_Hall '-C 2y'
_cell_length_a 12.0894
_cell_length_b 5.9475
_cell_length_c 12.7822
_cell_angle_alpha 90.00
_cell_angle_beta 118.01
_cell_angle_gamma 90.00
loop_
_atom_site_label
_atom_site_fract_x
_atom_site_fract_y
_atom_site_fract_z
_atom_site_occupancy
Tb1 0.0000 0.0000 0.0000 1
Tb2 0.1358 0.5000 0.5043 1
Tb3 0.2120 0.0000 0.9238 1
Tb4 0.2428 0.5000 0.3111 1
Pm1 0.0561 0.0000 0.3321 1
Pm2 0.1358 0.5000 0.7774 1
Tm1 0.0000 0.5000 0.0000 1
# V = 33.81 A^3/atom
# Crystal system = monoclinic
# Excess energy over the best structure of this formula in the dataset = 184.9 meV/atom
# DFT formation energy = 272.1 meV per atom


Question: Among the records above, which one has the highest V?
Answer: TeAs


Question: The highest V belongs to which entry?
Answer: TeAs


Question: The lowest V belongs to which entry?
Answer: Li8Ag2Pd